No. 1
A relaxed structure of TbScFe10, computed with PBE.

Unit cell a=3.9520 b=4.9232 c=8.5018 alpha=90.00 beta=90.00 gamma=90.00
Last column: nearest neighbours and their distance in Å.
Atoms (fractional coordinates):
Fe  0.5000  0.7479  0.7448  8 Fe 2.42-2.49
Fe  0.5000  0.5000  0.0000  8 Fe 2.46-2.49
Fe  0.5000  0.2521  0.2552  8 Fe 2.42-2.49
Fe  0.5000  0.7479  0.2552  8 Fe 2.42-2.49
Fe  0.0000  0.0000  0.6609  6 Fe 2.40-2.44
Fe  0.0000  0.5000  0.8269  6 Fe 2.43-2.46
Fe  0.0000  0.5000  0.1731  6 Fe 2.43-2.46
Fe  0.5000  0.2521  0.7448  8 Fe 2.42-2.49
Fe  0.0000  0.0000  0.3391  6 Fe 2.40-2.44
Fe  0.5000  0.0000  0.5000  8 Fe 2.40-2.42
Sc  0.0000  0.5000  0.5000  6 Fe 2.78-2.82
Tb  0.0000  0.0000  0.0000  18 Fe 2.87-3.19

Computed properties:
- space group = Pmmm, No. 47
- DFT total energy (eV/atom) = -8.015

---

No. 2
A relaxed structure of Mg10In6Ag, computed with PBE.

Unit cell a=6.1973 b=8.6019 c=8.6019 alpha=120.00 beta=90.00 gamma=90.00
Last column: nearest neighbours and their distance in Å.
Atoms (fractional coordinates):
Mg  0.2135  0.2572  0.2572  1 Ag 2.84, 4 In 2.97-3.17
Mg  0.7865  0.7428  0.7428  1 Ag 2.84, 4 In 2.97-3.17
Mg  0.2135  0.0000  0.7428  1 Ag 2.84, 4 In 2.97-3.17
Mg  0.5000  0.6667  0.3333  6 In 3.04, 2 Mg 3.10
Mg  0.0000  0.3333  0.6667  2 Mg 3.10, 6 In 3.12
Mg  0.7865  0.2572  0.0000  1 Ag 2.84, 4 In 2.97-3.17
Mg  0.5000  0.3333  0.6667  6 In 3.04, 2 Mg 3.10
Mg  0.0000  0.6667  0.3333  2 Mg 3.10, 6 In 3.12
Mg  0.7865  0.0000  0.2572  1 Ag 2.84, 4 In 2.97-3.17
Mg  0.2135  0.7428  0.0000  1 Ag 2.84, 4 In 2.97-3.17
In  0.7366  0.3898  0.3898  8 Mg 2.97-3.17
In  0.7366  0.6102  0.0000  8 Mg 2.97-3.17
In  0.2634  0.3898  0.0000  8 Mg 2.97-3.17
In  0.7366  0.0000  0.6102  8 Mg 2.97-3.17
In  0.2634  0.6102  0.6102  8 Mg 2.97-3.17
In  0.2634  0.0000  0.3898  8 Mg 2.97-3.17
Ag  0.5000  0.0000  0.0000  6 Mg 2.84

Computed properties:
- space group = P-31m, No. 162
- DFT total energy (eV/atom) = -2.127

---

No. 3
A relaxed structure of Li3Mg, computed with PBE.

Unit cell a=5.2109 b=10.1454 c=6.1570 alpha=90.00 beta=90.00 gamma=90.00
Last column: nearest neighbours and their distance in Å.
Atoms (fractional coordinates):
Li  0.2486  0.9993  0.8729  9 Li 3.01-3.12, 3 Mg 3.06-3.11
Li  0.7486  0.5007  0.6271  9 Li 3.01-3.12, 3 Mg 3.06-3.11
Li  0.7486  0.9993  0.6271  9 Li 3.01-3.12, 3 Mg 3.06-3.11
Li  0.9009  0.2500  0.8751  4 Mg 2.99-3.13, 8 Li 3.03-3.12
Li  0.7514  0.0007  0.1271  9 Li 3.01-3.12, 3 Mg 3.06-3.11
Li  0.7514  0.4993  0.1271  9 Li 3.01-3.12, 3 Mg 3.06-3.11
Li  0.2514  0.0007  0.3729  9 Li 3.01-3.12, 3 Mg 3.06-3.11
Li  0.2514  0.4993  0.3729  9 Li 3.01-3.12, 3 Mg 3.06-3.11
Li  0.2486  0.5007  0.8729  9 Li 3.01-3.12, 3 Mg 3.06-3.11
Li  0.0991  0.7500  0.1249  4 Mg 2.99-3.13, 8 Li 3.03-3.12
Li  0.4009  0.2500  0.6249  4 Mg 2.99-3.13, 8 Li 3.03-3.12
Li  0.5991  0.7500  0.3751  4 Mg 2.99-3.13, 8 Li 3.03-3.12
Mg  0.0966  0.7500  0.6165  10 Li 2.99-3.13, 2 Mg 3.08
Mg  0.9034  0.2500  0.3835  10 Li 2.99-3.13, 2 Mg 3.08
Mg  0.5966  0.7500  0.8835  10 Li 2.99-3.13, 2 Mg 3.08
Mg  0.4034  0.2500  0.1165  10 Li 2.99-3.13, 2 Mg 3.08

Computed properties:
- space group = Pnma, No. 62
- DFT total energy (eV/atom) = -1.864

---

No. 4
A relaxed structure of Tm2Al2Hg, computed with PBE.

Unit cell a=6.9752 b=6.9752 c=9.2379 alpha=90.00 beta=90.00 gamma=90.00
Last column: nearest neighbours and their distance in Å.
Atoms (fractional coordinates):
Tm  0.8319  0.3319  0.5000  6 Al 3.04-3.13, 1 Tm 3.32
Tm  0.3319  0.1681  0.0000  6 Al 3.04-3.13, 1 Tm 3.32
Tm  0.1681  0.6681  0.5000  6 Al 3.04-3.13, 1 Tm 3.32
Tm  0.3319  0.1681  0.5000  6 Al 3.04-3.13, 1 Tm 3.32
Tm  0.1681  0.6681  0.0000  6 Al 3.04-3.13, 1 Tm 3.32
Tm  0.8319  0.3319  0.0000  6 Al 3.04-3.13, 1 Tm 3.32
Tm  0.6681  0.8319  0.5000  6 Al 3.04-3.13, 1 Tm 3.32
Tm  0.6681  0.8319  0.0000  6 Al 3.04-3.13, 1 Tm 3.32
Al  0.1323  0.3677  0.7500  1 Al 2.61, 2 Hg 2.73
Al  0.6323  0.1323  0.2500  1 Al 2.61, 2 Hg 2.73
Al  0.1323  0.3677  0.2500  1 Al 2.61, 2 Hg 2.73
Al  0.6323  0.1323  0.7500  1 Al 2.61, 2 Hg 2.73
Al  0.8677  0.6323  0.2500  1 Al 2.61, 2 Hg 2.73
Al  0.3677  0.8677  0.7500  1 Al 2.61, 2 Hg 2.73
Al  0.3677  0.8677  0.2500  1 Al 2.61, 2 Hg 2.73
Al  0.8677  0.6323  0.7500  1 Al 2.61, 2 Hg 2.73
Hg  0.5000  0.5000  0.7503  4 Al 2.73
Hg  0.5000  0.5000  0.2497  4 Al 2.73
Hg  0.0000  0.0000  0.2503  4 Al 2.73
Hg  0.0000  0.0000  0.7497  4 Al 2.73

Computed properties:
- space group = P4/mnc, No. 128
- DFT total energy (eV/atom) = -3.773

---

No. 5
A relaxed structure of Cs4Mg2Cl, computed with PBE.

Unit cell a=6.7721 b=6.7721 c=11.3026 alpha=72.57 beta=72.57 gamma=90.00
Last column: nearest neighbours and their distance in Å.
Atoms (fractional coordinates):
Mg  0.6207  0.6207  0.7586  5 Cs 4.17-4.19
Mg  0.3793  0.3793  0.2414  5 Cs 4.17-4.19
Cs  0.1756  0.1756  0.6489  1 Cl 3.59
Cs  0.5000  0.0000  0.0000  2 Cl 3.39
Cs  0.0000  0.5000  0.0000  2 Cl 3.39
Cs  0.8244  0.8244  0.3511  1 Cl 3.59
Cl  0.0000  0.0000  0.0000  6 Cs 3.39-3.59

Computed properties:
- formation energy (no corrections) (eV per atom) = -0.316
- space group = I4/mmm, No. 139

---

No. 6
A relaxed structure of Ba2MgAlS5, computed with PBE.

Unit cell a=4.0165 b=9.2688 c=12.6596 alpha=90.00 beta=90.00 gamma=102.51
Last column: nearest neighbours and their distance in Å.
Atoms (fractional coordinates):
S  0.5015  0.0029  0.7900  1 Al 2.23
S  0.6856  0.3712  0.8807  1 Al 2.28
S  0.2952  0.5905  0.6500  2 Mg 2.60
S  0.4985  0.9971  0.2900  1 Al 2.23
S  0.6531  0.3061  0.5051  1 Mg 2.50
S  0.9473  0.8945  0.5357  2 Al 2.36
S  0.3469  0.6939  0.0051  1 Mg 2.50
S  0.7048  0.4095  0.1500  2 Mg 2.60
S  0.0527  0.1055  0.0357  2 Al 2.36
S  0.3144  0.6288  0.3807  1 Al 2.28
Mg  0.7909  0.5818  0.5202  5 S 2.50-2.71
Mg  0.2091  0.4182  0.0202  5 S 2.50-2.71
Ba  0.1319  0.2637  0.3140  7 S 3.15-3.41
Ba  0.8681  0.7363  0.8140  7 S 3.15-3.41
Ba  0.8814  0.7628  0.1886  7 S 3.13-3.38
Ba  0.1186  0.2372  0.6886  7 S 3.13-3.38
Al  0.4335  0.8670  0.4396  4 S 2.23-2.36
Al  0.5665  0.1330  0.9396  4 S 2.23-2.36

Computed properties:
- formation energy (no corrections) (eV per atom) = -1.453
- space group = Cmc2_1, No. 36